[1]
# Rb2Pa3VO12

A geometry-optimized Rb2Pa3VO12 structure (PBE+U, Alexandria).

The structure in POSCAR format:
```
Rb2Pa3VO12
1.0
4.000 2.309 6.192
-4.000 2.309 6.192
0.000 -4.619 6.192
Rb Pa V O
2 3 1 12
Direct
0.124 0.124 0.124
0.876 0.876 0.876
0.000 0.500 0.500
0.500 0.000 0.500
0.500 0.500 0.000
0.500 0.500 0.500
0.176 0.176 0.562
0.176 0.562 0.176
0.218 0.555 0.555
0.438 0.824 0.824
0.445 0.445 0.782
0.445 0.782 0.445
0.555 0.218 0.555
0.555 0.555 0.218
0.562 0.176 0.176
0.782 0.445 0.445
0.824 0.438 0.824
0.824 0.824 0.438
```

Calculated values
Magnetic moment ... 2.06 Bohr magnetons per cell
Total energy ... -8.078 eV/atom
D(E_F) ... 0.62 states/eV per atom

=====

[2]
# Rb2PaV3O12

A geometry-optimized Rb2PaV3O12 structure (PBE+U, Alexandria).

The structure in POSCAR format:
```
Rb2PaV3O12
1.0
3.582 2.068 6.246
-3.582 2.068 6.246
0.000 -4.136 6.246
Rb Pa V O
2 1 3 12
Direct
0.111 0.111 0.111
0.889 0.889 0.889
0.500 0.500 0.500
0.000 0.500 0.500
0.500 0.000 0.500
0.500 0.500 0.000
0.153 0.574 0.574
0.198 0.198 0.568
0.198 0.568 0.198
0.426 0.426 0.847
0.426 0.847 0.426
0.432 0.802 0.802
0.568 0.198 0.198
0.574 0.153 0.574
0.574 0.574 0.153
0.802 0.432 0.802
0.802 0.802 0.432
0.847 0.426 0.426
```

Calculated values
Magnetic moment ... 0.00 Bohr magnetons per cell
Total energy ... -7.172 eV/atom
D(E_F) ... 0.66 states/eV per atom

=====

[3]
# RbPaVO4

A geometry-optimized RbPaVO4 structure (PBE+U, Alexandria).

The structure in POSCAR format:
```
RbPaVO4
1.0
-3.642 3.645 4.533
3.642 -3.645 4.533
3.642 3.645 -4.533
Rb Pa V O
2 2 2 8
Direct
0.367 0.117 0.250
0.633 0.883 0.750
0.000 0.500 0.500
0.500 0.500 0.000
0.000 0.000 0.500
0.000 0.500 0.000
0.169 0.728 0.441
0.213 0.272 0.941
0.243 0.310 0.567
0.243 0.676 0.933
0.757 0.324 0.067
0.757 0.690 0.433
0.787 0.728 0.059
0.831 0.272 0.559
```

Calculated values
Magnetic moment ... 6.00 Bohr magnetons per cell
Total energy ... -7.936 eV/atom

=====

[4]
# RbPaWO6

A geometry-optimized RbPaWO6 structure (PBE+U, Alexandria).

The structure in POSCAR format:
```
RbPaWO6
1.0
-3.770 3.968 5.511
3.770 -3.968 5.511
3.770 3.968 -5.511
Rb Pa W O
2 2 2 12
Direct
0.377 0.127 0.250
0.623 0.873 0.750
0.000 0.500 0.500
0.500 0.500 0.000
0.000 0.000 0.500
0.000 0.500 0.000
0.046 0.796 0.250
0.054 0.425 0.219
0.054 0.835 0.629
0.294 0.165 0.719
0.294 0.575 0.129
0.327 0.577 0.750
0.673 0.423 0.250
0.706 0.425 0.871
0.706 0.835 0.281
0.946 0.165 0.371
0.946 0.575 0.781
0.954 0.204 0.750
```

Calculated values
Magnetic moment ... 0.00 Bohr magnetons per cell
Total energy ... -7.931 eV/atom
D(E_F) ... 0.00 states/eV per atom

=====

[5]
# Rb2Pa3WO12

A geometry-optimized Rb2Pa3WO12 structure (PBE+U, Alexandria).

The structure in POSCAR format:
```
Rb2Pa3WO12
1.0
4.003 2.311 6.382
-4.003 2.311 6.382
0.000 -4.623 6.382
Rb Pa W O
2 3 1 12
Direct
0.114 0.114 0.114
0.886 0.886 0.886
0.000 0.500 0.500
0.500 0.000 0.500
0.500 0.500 0.000
0.500 0.500 0.500
0.178 0.178 0.569
0.178 0.569 0.178
0.211 0.558 0.558
0.431 0.822 0.822
0.442 0.442 0.789
0.442 0.789 0.442
0.558 0.211 0.558
0.558 0.558 0.211
0.569 0.178 0.178
0.789 0.442 0.442
0.822 0.431 0.822
0.822 0.822 0.431
```

Calculated values
Magnetic moment ... 0.00 Bohr magnetons per cell
Total energy ... -8.239 eV/atom
D(E_F) ... 0.84 states/eV per atom

=====

[6]
# Rb2PaW3O12

A geometry-optimized Rb2PaW3O12 structure (PBE+U, Alexandria).

The structure in POSCAR format:
```
Rb2PaW3O12
1.0
3.738 2.158 6.360
-3.738 2.158 6.360
0.000 -4.317 6.360
Rb Pa W O
2 1 3 12
Direct
0.119 0.119 0.119
0.881 0.881 0.881
0.500 0.500 0.500
0.000 0.500 0.500
0.500 0.000 0.500
0.500 0.500 0.000
0.160 0.571 0.571
0.195 0.195 0.568
0.195 0.568 0.195
0.429 0.429 0.840
0.429 0.840 0.429
0.432 0.805 0.805
0.568 0.195 0.195
0.571 0.160 0.571
0.571 0.571 0.160
0.805 0.432 0.805
0.805 0.805 0.432
0.840 0.429 0.429
```

Calculated values
Magnetic moment ... 1.00 Bohr magnetons per cell
Total energy ... -7.492 eV/atom
D(E_F) ... 0.18 states/eV per atom

=====

The highest magnetic moment belongs to which entry?
RbPaVO4

=====

What is the magnetic moment in the third record?
6.00 Bohr magnetons per cell

=====

Among the records above, which one has the lowest total energy?
Rb2Pa3WO12

=====

What is the formula in the fifth record?
Rb2Pa3WO12